1.
LaMgSb4 after structural relaxation. Source: Alexandria via LeMat-Bulk, functional PBE.

abc: 6.2954 6.2954 6.2954
angles: 60.00 60.00 60.00
Positions (direct):
1 La 0.0000 0.0000 0.0000
2 Mg 0.7500 0.7500 0.7500
3 Sb 0.3761 0.3761 0.3761
4 Sb 0.3761 0.3761 0.8717
5 Sb 0.3761 0.8717 0.3761
6 Sb 0.8717 0.3761 0.3761

Values from the calculation:
calculated total energy	-4.00	eV/atom
formation energy from raw total energies	-169	meV per atom
theoretical density	6.1	g/cm³
space-group type	F-43m, No. 216

2.
Y3ScHg12 after structural relaxation. Source: Alexandria via LeMat-Bulk, functional PBE.

abc: 4.4972 4.4972 19.0187
angles: 90.00 90.00 90.00
Positions (direct):
1 Y 0.0000 0.0000 0.0000
2 Y 0.0000 0.0000 0.2545
3 Y 0.0000 0.0000 0.7455
4 Sc 0.0000 0.0000 0.5000
5 Hg 0.0000 0.5000 0.1270
6 Hg 0.0000 0.5000 0.3804
7 Hg 0.0000 0.5000 0.6196
8 Hg 0.0000 0.5000 0.8730
9 Hg 0.5000 0.0000 0.1270
10 Hg 0.5000 0.0000 0.3804
11 Hg 0.5000 0.0000 0.6196
12 Hg 0.5000 0.0000 0.8730
13 Hg 0.5000 0.5000 0.0000
14 Hg 0.5000 0.5000 0.2540
15 Hg 0.5000 0.5000 0.5000
16 Hg 0.5000 0.5000 0.7460

Values from the calculation:
calculated total energy	-2.13	eV/atom
energy relative to the elements	-0.2998	eV per atom
theoretical density	11.7	g/cm³
space-group type	P4/mmm, No. 123

3.
TmPaN3 after structural relaxation. Source: Alexandria via LeMat-Bulk, functional PBE.

abc: 6.8027 6.8027 3.6123
angles: 90.00 90.00 109.72
Positions (direct):
1 Tm 0.0000 0.0000 0.0000
2 Tm 0.5000 0.5000 0.0000
3 Pa 0.0000 0.5000 0.5000
4 Pa 0.5000 0.0000 0.5000
5 N 0.1443 0.8557 0.5000
6 N 0.1599 0.4245 0.0000
7 N 0.4245 0.1599 0.0000
8 N 0.5755 0.8401 0.0000
9 N 0.8401 0.5755 0.0000
10 N 0.8557 0.1443 0.5000

Values from the calculation:
calculated total energy	-8.94	eV/atom
formation energy from raw total energies	-1156	meV per atom
theoretical density	9.3	g/cm³
space-group type	Cmmm, No. 65

4.
Nb2Ru2Rh after structural relaxation. Source: Alexandria via LeMat-Bulk, functional PBE.

abc: 5.9076 5.9076 5.9076
angles: 137.56 137.56 61.57
Positions (direct):
1 Nb 0.2500 0.7500 0.5000
2 Nb 0.7500 0.2500 0.5000
3 Ru 0.1174 0.1174 0.0000
4 Ru 0.8826 0.8826 0.0000
5 Rh 0.5000 0.5000 0.0000

Values from the calculation:
calculated total energy	-8.79	eV/atom
energy relative to the elements	0.4154	eV per atom
ΔE to the lowest computed polymorph	501	meV/atom
theoretical density	8.8	g/cm³
space-group type	I4/mmm, No. 139

5.
La2Tb2Ho after structural relaxation. Source: Alexandria via LeMat-Bulk, functional PBE.

abc: 8.1440 8.1440 8.1440
angles: 98.99 98.99 133.43
Positions (direct):
1 La 0.1100 0.6100 0.7200
2 La 0.3900 0.1100 0.5000
3 La 0.6100 0.8900 0.5000
4 La 0.8900 0.3900 0.2800
5 Tb 0.1894 0.3106 0.5000
6 Tb 0.3106 0.8106 0.1212
7 Tb 0.6894 0.1894 0.8788
8 Tb 0.8106 0.6894 0.5000
9 Ho 0.2500 0.2500 0.0000
10 Ho 0.7500 0.7500 0.0000

Values from the calculation:
calculated total energy	-4.24	eV/atom
energy relative to the elements	0.5021	eV per atom
ΔE to the lowest computed polymorph	265	meV/atom
theoretical density	7.0	g/cm³
space-group type	I4/mcm, No. 140

6.
RbAcAsI after structural relaxation. Source: Alexandria via LeMat-Bulk, functional PBE.

abc: 9.1796 9.1796 9.1796
angles: 29.87 29.87 29.87
Positions (direct):
1 Rb 0.0000 0.0000 0.0000
2 Ac 0.8044 0.8044 0.8044
3 As 0.4201 0.4201 0.4201
4 I 0.2281 0.2281 0.2281

Values from the calculation:
calculated total energy	-4.05	eV/atom
formation energy from raw total energies	-1235	meV per atom
theoretical density	5.0	g/cm³
space-group type	R3m, No. 160

7.
CsP2IO after structural relaxation. Source: Alexandria via LeMat-Bulk, functional PBE.

abc: 5.5021 5.5021 4.3515
angles: 90.00 90.00 90.00
Positions (direct):
1 Cs 0.0000 0.0000 0.0000
2 P 0.0000 0.5000 0.5000
3 P 0.5000 0.0000 0.5000
4 I 0.5000 0.5000 0.5000
5 O 0.5000 0.5000 0.0000

Values from the calculation:
calculated total energy	-3.00	eV/atom
formation energy from raw total energies	638	meV per atom
ΔE to the lowest computed polymorph	0	meV/atom
theoretical density	4.3	g/cm³
space-group type	P4/mmm, No. 123

8.
RbPdBr after structural relaxation. Source: Alexandria via LeMat-Bulk, functional PBE.

abc: 6.7518 6.7518 7.4705
angles: 96.30 96.30 33.73
Positions (direct):
1 Rb 0.1023 0.1023 0.2887
2 Rb 0.8977 0.8977 0.7113
3 Pd 0.2068 0.2068 0.8953
4 Pd 0.7932 0.7932 0.1047
5 Br 0.3764 0.3764 0.3066
6 Br 0.6236 0.6236 0.6934

Values from the calculation:
calculated total energy	-3.29	eV/atom
formation energy from raw total energies	-683	meV per atom
ΔE to the lowest computed polymorph	38	meV/atom
theoretical density	4.8	g/cm³
space-group type	C2/m, No. 12

9.
NdDySiHg after structural relaxation. Source: Alexandria via LeMat-Bulk, functional PBE.

abc: 5.1974 5.1974 5.1974
angles: 60.00 60.00 60.00
Positions (direct):
1 Nd 0.0000 0.0000 0.0000
2 Dy 0.5000 0.5000 0.5000
3 Si 0.2500 0.2500 0.2500
4 Hg 0.7500 0.7500 0.7500

Values from the calculation:
calculated total energy	-4.23	eV/atom
formation energy from raw total energies	-457	meV per atom
theoretical density	9.0	g/cm³
space-group type	F-43m, No. 216

10.
Ho3H2Se3 after structural relaxation. Source: Alexandria via LeMat-Bulk, functional PBE.

abc: 5.4468 5.4468 16.1734
angles: 90.00 90.00 139.09
Positions (direct):
1 Ho 0.0998 0.9002 0.7500
2 Ho 0.1673 0.8327 0.0797
3 Ho 0.1673 0.8327 0.4203
4 Ho 0.8327 0.1673 0.5797
5 Ho 0.8327 0.1673 0.9203
6 Ho 0.9002 0.0998 0.2500
7 H 0.2645 0.7355 0.5398
8 H 0.2645 0.7355 0.9602
9 H 0.7355 0.2645 0.0398
10 H 0.7355 0.2645 0.4602
11 Se 0.1883 0.8117 0.2500
12 Se 0.4542 0.5458 0.1139
13 Se 0.4542 0.5458 0.3861
14 Se 0.5458 0.4542 0.6139
15 Se 0.5458 0.4542 0.8861
16 Se 0.8117 0.1883 0.7500

Values from the calculation:
calculated total energy	-5.24	eV/atom
theoretical density	7.8	g/cm³
space-group type	Cmcm, No. 63

11.
ThMn2B4 after structural relaxation. Source: Alexandria via LeMat-Bulk, functional PBE.

abc: 7.9654 7.9654 7.9654
angles: 157.78 156.68 32.43
Positions (direct):
1 Th 0.0000 0.0000 0.0000
2 Mn 0.1961 0.6961 0.5000
3 Mn 0.8039 0.3039 0.5000
4 B 0.3391 0.8391 0.5000
5 B 0.3900 0.3900 0.0000
6 B 0.6100 0.6100 0.0000
7 B 0.6609 0.1609 0.5000

Values from the calculation:
calculated total energy	-7.82	eV/atom
energy relative to the elements	-0.3283	eV per atom
theoretical density	8.5	g/cm³
space-group type	Immm, No. 71

12.
Cs3Er3TaS8 after structural relaxation. Source: Alexandria via LeMat-Bulk, functional PBE.

abc: 9.3849 9.3849 9.3849
angles: 49.42 49.42 49.42
Positions (direct):
1 Cs 0.0000 0.5000 0.5000
2 Cs 0.5000 0.0000 0.5000
3 Cs 0.5000 0.5000 0.0000
4 Er 0.0000 0.0000 0.5000
5 Er 0.0000 0.5000 0.0000
6 Er 0.5000 0.0000 0.0000
7 Ta 0.5000 0.5000 0.5000
8 S 0.2271 0.2271 0.2271
9 S 0.2468 0.7129 0.7129
10 S 0.2871 0.2871 0.7532
11 S 0.2871 0.7532 0.2871
12 S 0.7129 0.2468 0.7129
13 S 0.7129 0.7129 0.2468
14 S 0.7532 0.2871 0.2871
15 S 0.7729 0.7729 0.7729

Values from the calculation:
calculated total energy	-5.71	eV/atom
formation energy from raw total energies	-1636	meV per atom
theoretical density	5.1	g/cm³
space-group type	R-3m, No. 166

13.
TbErIrPb after structural relaxation. Source: Alexandria via LeMat-Bulk, functional PBE.

abc: 5.1251 5.1251 5.1251
angles: 60.00 60.00 60.00
Positions (direct):
1 Tb 0.0000 0.0000 0.0000
2 Er 0.5000 0.5000 0.5000
3 Ir 0.2500 0.2500 0.2500
4 Pb 0.7500 0.7500 0.7500

Values from the calculation:
calculated total energy	-5.92	eV/atom
energy relative to the elements	-0.4821	eV per atom
ΔE to the lowest computed polymorph	204	meV/atom
theoretical density	12.7	g/cm³
space-group type	F-43m, No. 216

14.
Pm4SiI4 after structural relaxation. Source: Alexandria via LeMat-Bulk, functional PBE.

abc: 8.1247 8.1247 8.1247
angles: 125.93 125.93 80.00
Positions (direct):
1 Pm 0.0474 0.6569 0.0000
2 Pm 0.3431 0.3431 0.3905
3 Pm 0.6569 0.0474 0.0000
4 Pm 0.9526 0.9526 0.6095
5 Si 0.0000 0.0000 0.0000
6 I 0.0000 0.5000 0.5000
7 I 0.3436 0.3436 0.0000
8 I 0.5000 0.0000 0.5000
9 I 0.6564 0.6564 0.0000

Values from the calculation:
calculated total energy	-4.03	eV/atom
formation energy from raw total energies	-629	meV per atom
theoretical density	5.5	g/cm³
space-group type	I-42m, No. 121

15.
Sc4AlRu after structural relaxation. Source: Alexandria via LeMat-Bulk, functional PBE.

abc: 7.9602 7.9602 7.9602
angles: 33.90 33.90 33.90
Positions (direct):
1 Sc 0.1159 0.1159 0.1159
2 Sc 0.3677 0.3677 0.3677
3 Sc 0.6323 0.6323 0.6323
4 Sc 0.8841 0.8841 0.8841
5 Al 0.5000 0.5000 0.5000
6 Ru 0.0000 0.0000 0.0000

Values from the calculation:
calculated total energy	-6.55	eV/atom
energy relative to the elements	-0.1609	eV per atom
ΔE to the lowest computed polymorph	244	meV/atom
theoretical density	3.7	g/cm³
space-group type	R-3m, No. 166

16.
Hg2SbAs after structural relaxation. Source: Alexandria via LeMat-Bulk, functional PBE.

abc: 10.3069 10.3069 10.3069
angles: 18.70 18.70 18.70
Positions (direct):
1 Hg 0.2457 0.2457 0.2457
2 Hg 0.7543 0.7543 0.7543
3 Sb 0.0000 0.0000 0.0000
4 As 0.5000 0.5000 0.5000

Values from the calculation:
calculated total energy	-2.01	eV/atom
formation energy from raw total energies	331	meV per atom
ΔE to the lowest computed polymorph	294	meV/atom
theoretical density	10.1	g/cm³
space-group type	R-3m, No. 166

17.
Dy2Ge4Pt3Rh after structural relaxation. Source: Alexandria via LeMat-Bulk, functional PBE.

abc: 4.1210 4.1210 10.8608
angles: 90.00 90.00 90.00
Positions (direct):
1 Dy 0.0000 0.5000 0.2421
2 Dy 0.5000 0.0000 0.7579
3 Ge 0.0000 0.0000 0.5000
4 Ge 0.0000 0.5000 0.8659
5 Ge 0.5000 0.0000 0.1341
6 Ge 0.5000 0.5000 0.5000
7 Pt 0.0000 0.0000 0.0000
8 Pt 0.0000 0.5000 0.6420
9 Pt 0.5000 0.0000 0.3580
10 Rh 0.5000 0.5000 0.0000

Values from the calculation:
calculated total energy	-6.21	eV/atom
energy relative to the elements	-0.8962	eV per atom
theoretical density	11.7	g/cm³
space-group type	P-4m2, No. 115

18.
Er3PaPt12 after structural relaxation. Source: Alexandria via LeMat-Bulk, functional PBE.

abc: 4.1226 4.1226 16.4393
angles: 90.00 90.00 90.00
Positions (direct):
1 Er 0.0000 0.0000 0.0000
2 Er 0.0000 0.0000 0.2455
3 Er 0.0000 0.0000 0.7545
4 Pa 0.0000 0.0000 0.5000
5 Pt 0.0000 0.5000 0.1240
6 Pt 0.0000 0.5000 0.3758
7 Pt 0.0000 0.5000 0.6242
8 Pt 0.0000 0.5000 0.8760
9 Pt 0.5000 0.0000 0.1240
10 Pt 0.5000 0.0000 0.3758
11 Pt 0.5000 0.0000 0.6242
12 Pt 0.5000 0.0000 0.8760
13 Pt 0.5000 0.5000 0.0000
14 Pt 0.5000 0.5000 0.2494
15 Pt 0.5000 0.5000 0.5000
16 Pt 0.5000 0.5000 0.7506

Values from the calculation:
calculated total energy	-7.07	eV/atom
energy relative to the elements	-1.0919	eV per atom
theoretical density	18.3	g/cm³
space-group type	P4/mmm, No. 123

19.
Ta2Be15Cu2 after structural relaxation. Source: Alexandria via LeMat-Bulk, functional PBE.

abc: 5.6392 5.6392 5.6392
angles: 82.94 82.94 82.94
Positions (direct):
1 Ta 0.1535 0.1535 0.1535
2 Ta 0.8465 0.8465 0.8465
3 Be 0.0000 0.5000 0.5000
4 Be 0.1523 0.1523 0.6638
5 Be 0.1523 0.6638 0.1523
6 Be 0.2036 0.5000 0.7964
7 Be 0.2036 0.7964 0.5000
8 Be 0.3362 0.8477 0.8477
9 Be 0.5000 0.0000 0.5000
10 Be 0.5000 0.2036 0.7964
11 Be 0.5000 0.5000 0.0000
12 Be 0.5000 0.7964 0.2036
13 Be 0.6638 0.1523 0.1523
14 Be 0.7964 0.2036 0.5000
15 Be 0.7964 0.5000 0.2036
16 Be 0.8477 0.3362 0.8477
17 Be 0.8477 0.8477 0.3362
18 Cu 0.3940 0.3940 0.3940
19 Cu 0.6060 0.6060 0.6060

Values from the calculation:
calculated total energy	-4.81	eV/atom
energy relative to the elements	-0.1879	eV per atom
theoretical density	5.9	g/cm³
space-group type	R-3m, No. 166

20.
Mg3Pb8 after structural relaxation. Source: Alexandria via LeMat-Bulk, functional PBE.

abc: 7.0036 7.0036 7.0036
angles: 89.76 89.76 89.76
Positions (direct):
1 Mg 0.0000 0.5000 0.5000
2 Mg 0.5000 0.0000 0.5000
3 Mg 0.5000 0.5000 0.0000
4 Pb 0.2346 0.7629 0.7629
5 Pb 0.2371 0.2371 0.7654
6 Pb 0.2371 0.7654 0.2371
7 Pb 0.2400 0.2400 0.2400
8 Pb 0.7600 0.7600 0.7600
9 Pb 0.7629 0.2346 0.7629
10 Pb 0.7629 0.7629 0.2346
11 Pb 0.7654 0.2371 0.2371

Values from the calculation:
calculated total energy	-3.06	eV/atom
energy relative to the elements	0.0719	eV per atom
ΔE to the lowest computed polymorph	0	meV/atom
theoretical density	8.4	g/cm³
space-group type	R-3m, No. 166